*i*
## TlNiBr (PBE)

Data for a geometry-optimized TlNiBr structure.

Computed properties:
Its crystal system is tetragonal. Its volume is 23.816 Å³ per atom.

Unit cell a=3.412 b=3.412 c=12.274 alpha=90.00 beta=90.00 gamma=90.00
Space group I4mm (No. 107)
Asymmetric unit:
1 Tl 0.000 0.000 0.000 [2 per cell]
2 Ni 0.000 0.000 0.297 [2 per cell]
3 Br 0.000 0.000 0.745 [2 per cell]

*ii*
## TlNiBr (PBE)

Data for a geometry-optimized TlNiBr structure.

Computed properties:
Its crystal system is cubic. Its volume is 23.491 Å³ per atom.

Unit cell a=6.557 b=6.557 c=6.557 alpha=90.00 beta=90.00 gamma=90.00
Space group F-43m (No. 216)
Asymmetric unit:
1 Tl 0.000 0.000 0.000 [4 per cell]
2 Ni 0.250 0.250 0.250 [4 per cell]
3 Br 0.000 0.000 0.500 [4 per cell]

Which one sits at the top of the stability order? *i* does.

*i*
## TlNiBr (PBE)

Data for a geometry-optimized TlNiBr structure.

Computed properties:
Its crystal system is trigonal. Its volume is 23.755 Å³ per atom.

Unit cell a=3.8338 b=3.8338 c=5.5989 alpha=90.00 beta=90.00 gamma=120.00
Space group P3m1 (No. 156)
Asymmetric unit:
1 Tl 0.0000 0.0000 0.0000 [1 per cell]
2 Ni 0.3333 0.6667 0.7380 [1 per cell]
3 Br 0.6667 0.3333 0.5183 [1 per cell]

*ii*
## TlNiBr (PBE)

Data for a geometry-optimized TlNiBr structure.

Computed properties:
Its crystal system is orthorhombic. Its volume is 25.230 Å³ per atom.

Unit cell a=4.030 b=6.059 c=12.398 alpha=90.00 beta=90.00 gamma=90.00
Space group Fmm2 (No. 42)
Asymmetric unit:
1 Tl 0.000 0.000 0.000 [4 per cell]
2 Ni 0.000 0.000 0.350 [4 per cell]
3 Br 0.000 0.000 0.746 [4 per cell]

Which one sits at the top of the stability order? *i* does.

*i*
## TlNi3Br (PBE)

Data for a geometry-optimized TlNi3Br structure.

Computed properties:
Its crystal system is cubic. Its volume is 22.968 Å³ per atom.

Unit cell a=4.861 b=4.861 c=4.861 alpha=90.00 beta=90.00 gamma=90.00
Space group Pm-3m (No. 221)
Asymmetric unit:
1 Tl 0.000 0.000 0.000 [1 per cell]
2 Ni 0.000 0.000 0.500 [3 per cell]
3 Br 0.500 0.500 0.500 [1 per cell]

*ii*
## TlNi3Br (PBE)

Data for a geometry-optimized TlNi3Br structure.

Computed properties:
Its crystal system is cubic. Its volume is 18.056 Å³ per atom.

Unit cell a=4.486 b=4.486 c=4.486 alpha=90.00 beta=90.00 gamma=90.00
Space group Pm-3m (No. 221)
Asymmetric unit:
1 Tl 0.000 0.000 0.000 [1 per cell]
2 Ni 0.000 0.500 0.500 [3 per cell]
3 Br 0.500 0.500 0.500 [1 per cell]

Which one sits at the top of the stability order? *ii* does.

*i*
## Tl3NiBr (PBE)

Data for a geometry-optimized Tl3NiBr structure.

Computed properties:
Its crystal system is cubic. Its volume is 44.753 Å³ per atom.

Unit cell a=6.071 b=6.071 c=6.071 alpha=90.00 beta=90.00 gamma=90.00
Space group Pm-3m (No. 221)
Asymmetric unit:
1 Tl 0.000 0.000 0.500 [3 per cell]
2 Ni 0.500 0.500 0.500 [1 per cell]
3 Br 0.000 0.000 0.000 [1 per cell]

*ii*
## Tl3NiBr (PBE)

Data for a geometry-optimized Tl3NiBr structure.

Computed properties:
Its crystal system is cubic. Its volume is 28.002 Å³ per atom.

Unit cell a=5.193 b=5.193 c=5.193 alpha=90.00 beta=90.00 gamma=90.00
Space group Pm-3m (No. 221)
Asymmetric unit:
1 Tl 0.000 0.000 0.500 [3 per cell]
2 Ni 0.000 0.000 0.000 [1 per cell]
3 Br 0.500 0.500 0.500 [1 per cell]

Which one sits at the top of the stability order? *ii* does.

*i*
## TlNiBr4 (PBE)

Data for a geometry-optimized TlNiBr4 structure.

Computed properties:
Its crystal system is orthorhombic. Its volume is 42.731 Å³ per atom.

Unit cell a=10.300 b=13.189 c=7.550 alpha=90.00 beta=90.00 gamma=90.00
Space group Cccm (No. 66)
Asymmetric unit:
1 Tl 0.250 0.250 0.000 [4 per cell]
2 Ni 0.000 0.000 0.250 [4 per cell]
3 Br 0.000 0.181 0.250 [8 per cell]
4 Br 0.166 0.002 0.500 [8 per cell]

*ii*
## TlNiBr4 (PBE)

Data for a geometry-optimized TlNiBr4 structure.

Computed properties:
Its crystal system is cubic. Its volume is 31.700 Å³ per atom.

Unit cell a=9.129 b=9.129 c=9.129 alpha=90.00 beta=90.00 gamma=90.00
Space group F-43m (No. 216)
Asymmetric unit:
1 Tl 0.000 0.000 0.000 [4 per cell]
2 Ni 0.250 0.250 0.250 [4 per cell]
3 Br 0.124 0.124 0.624 [16 per cell]

Which one sits at the top of the stability order? *i* does.

*i*
## VNi2Br (PBE)

Data for a geometry-optimized VNi2Br structure.

Computed properties:
Its crystal system is cubic. Its volume is 14.317 Å³ per atom.

Unit cell a=6.119 b=6.119 c=6.119 alpha=90.00 beta=90.00 gamma=90.00
Space group Fm-3m (No. 225)
Asymmetric unit:
1 V 0.000 0.000 0.000 [4 per cell]
2 Ni 0.250 0.250 0.250 [8 per cell]
3 Br 0.000 0.000 0.500 [4 per cell]

*ii*
## VNi2Br (PBE)

Data for a geometry-optimized VNi2Br structure.

Computed properties:
Its crystal system is tetragonal. Its volume is 18.009 Å³ per atom.

Unit cell a=6.001 b=6.001 c=8.001 alpha=90.00 beta=90.00 gamma=90.00
Space group I-42d (No. 122)
Asymmetric unit:
1 V 0.000 0.000 0.000 [4 per cell]
2 Ni 0.229 0.250 0.125 [8 per cell]
3 Br 0.000 0.000 0.500 [4 per cell]

Which one sits at the top of the stability order? *ii* does.

*i*
## VNi3Br (PBE)

Data for a geometry-optimized VNi3Br structure.

Computed properties:
Its crystal system is cubic. Its volume is 16.366 Å³ per atom.

Unit cell a=4.341 b=4.341 c=4.341 alpha=90.00 beta=90.00 gamma=90.00
Space group Pm-3m (No. 221)
Asymmetric unit:
1 V 0.000 0.000 0.000 [1 per cell]
2 Ni 0.000 0.500 0.500 [3 per cell]
3 Br 0.500 0.500 0.500 [1 per cell]

*ii*
## VNi3Br (PBE)

Data for a geometry-optimized VNi3Br structure.

Computed properties:
Its crystal system is cubic. Its volume is 17.421 Å³ per atom.

Unit cell a=4.433 b=4.433 c=4.433 alpha=90.00 beta=90.00 gamma=90.00
Space group Pm-3m (No. 221)
Asymmetric unit:
1 V 0.000 0.000 0.000 [1 per cell]
2 Ni 0.000 0.000 0.500 [3 per cell]
3 Br 0.500 0.500 0.500 [1 per cell]

Which one sits at the top of the stability order? *i* does.

*i*
## NiW2Br (PBE)

Data for a geometry-optimized NiW2Br structure.

Computed properties:
Its crystal system is trigonal. Its volume is 15.674 Å³ per atom.

Unit cell a=2.9008 b=2.9008 c=25.8106 alpha=90.00 beta=90.00 gamma=120.00
Space group R-3m (No. 166, hexagonal axes)
Asymmetric unit:
1 Ni 0.0000 0.0000 0.0000 [3 per cell]
2 W 0.0000 0.0000 0.2537 [6 per cell]
3 Br 0.0000 0.0000 0.5000 [3 per cell]

*ii*
## NiW2Br (PBE)

Data for a geometry-optimized NiW2Br structure.

Computed properties:
Its crystal system is tetragonal. Its volume is 16.800 Å³ per atom.

Unit cell a=3.241 b=3.241 c=6.399 alpha=90.00 beta=90.00 gamma=90.00
Space group P4mm (No. 99)
Asymmetric unit:
1 Ni 0.000 0.000 0.000 [1 per cell]
2 W 0.000 0.000 0.418 [1 per cell]
3 W 0.500 0.500 0.207 [1 per cell]
4 Br 0.500 0.500 0.766 [1 per cell]

*iii*
## NiW2Br (PBE)

Data for a geometry-optimized NiW2Br structure.

Computed properties:
Its crystal system is tetragonal. Its volume is 16.111 Å³ per atom.

Unit cell a=3.752 b=3.752 c=4.578 alpha=90.00 beta=90.00 gamma=90.00
Space group P4/mmm (No. 123)
Asymmetric unit:
1 Ni 0.000 0.000 0.000 [1 per cell]
2 W 0.000 0.500 0.500 [2 per cell]
3 Br 0.500 0.500 0.000 [1 per cell]

Which one sits at the top of the stability order? *ii* does.

*i*
## NiW2Br (PBE)

Data for a geometry-optimized NiW2Br structure.

Computed properties:
Its crystal system is monoclinic. Its volume is 16.048 Å³ per atom.

Unit cell a=2.873 b=4.231 c=5.396 alpha=90.00 beta=101.83 gamma=90.00
Space group P2/m (No. 10)
Asymmetric unit:
1 Ni 0.000 0.000 0.000 [1 per cell]
2 W 0.290 0.500 0.776 [2 per cell]
3 Br 0.500 0.000 0.500 [1 per cell]

*ii*
## NiW2Br (PBE)

Data for a geometry-optimized NiW2Br structure.

Computed properties:
Its crystal system is orthorhombic. Its volume is 16.254 Å³ per atom.

Unit cell a=3.030 b=4.731 c=9.073 alpha=90.00 beta=90.00 gamma=90.00
Space group Cmmm (No. 65)
Asymmetric unit:
1 Ni 0.000 0.000 0.000 [2 per cell]
2 W 0.000 0.500 0.227 [4 per cell]
3 Br 0.000 0.000 0.500 [2 per cell]

Which one sits at the top of the stability order? *ii* does.

*i*
## NiW2Br (PBE)

Data for a geometry-optimized NiW2Br structure.

Computed properties:
Its crystal system is orthorhombic. Its volume is 16.637 Å³ per atom.

Unit cell a=3.247 b=4.822 c=8.502 alpha=90.00 beta=90.00 gamma=90.00
Space group Cmm2 (No. 35)
Asymmetric unit:
1 Ni 0.000 0.000 0.000 [2 per cell]
2 W 0.000 0.000 0.538 [2 per cell]
3 W 0.000 0.500 0.780 [2 per cell]
4 Br 0.000 0.500 0.260 [2 per cell]

*ii*
## NiW2Br (PBE)

Data for a geometry-optimized NiW2Br structure.

Computed properties:
Its crystal system is orthorhombic. Its volume is 15.865 Å³ per atom.

Unit cell a=3.028 b=4.488 c=9.339 alpha=90.00 beta=90.00 gamma=90.00
Space group Immm (No. 71)
Asymmetric unit:
1 Ni 0.000 0.000 0.000 [2 per cell]
2 W 0.000 0.500 0.244 [4 per cell]
3 Br 0.000 0.000 0.500 [2 per cell]

Which one sits at the top of the stability order? *i* does.

*i*
## YNiBr3 (PBE)

Data for a geometry-optimized YNiBr3 structure.

Computed properties:
Its crystal system is cubic. Its volume is 23.842 Å³ per atom.

Unit cell a=4.922 b=4.922 c=4.922 alpha=90.00 beta=90.00 gamma=90.00
Space group Pm-3m (No. 221)
Asymmetric unit:
1 Y 0.000 0.000 0.000 [1 per cell]
2 Ni 0.500 0.500 0.500 [1 per cell]
3 Br 0.000 0.500 0.500 [3 per cell]

*ii*
## YNiBr3 (PBE)

Data for a geometry-optimized YNiBr3 structure.

Computed properties:
Its crystal system is cubic. Its volume is 34.930 Å³ per atom.

Unit cell a=5.590 b=5.590 c=5.590 alpha=90.00 beta=90.00 gamma=90.00
Space group Pm-3m (No. 221)
Asymmetric unit:
1 Y 0.000 0.000 0.000 [1 per cell]
2 Ni 0.500 0.500 0.500 [1 per cell]
3 Br 0.000 0.000 0.500 [3 per cell]

Which one sits at the top of the stability order? *ii* does.

*i*
## Zn2NiBr (PBE)

Data for a geometry-optimized Zn2NiBr structure.

Computed properties:
Its crystal system is orthorhombic. Its volume is 17.012 Å³ per atom.

Unit cell a=4.477 b=4.489 c=6.770 alpha=90.00 beta=90.00 gamma=90.00
Space group Cmmm (No. 65)
Asymmetric unit:
1 Zn 0.000 0.000 0.189 [4 per cell]
2 Ni 0.000 0.500 0.000 [2 per cell]
3 Br 0.000 0.500 0.500 [2 per cell]

*ii*
## Zn2NiBr (PBE)

Data for a geometry-optimized Zn2NiBr structure.

Computed properties:
Its crystal system is orthorhombic. Its volume is 17.618 Å³ per atom.

Unit cell a=3.144 b=3.199 c=7.007 alpha=90.00 beta=90.00 gamma=90.00
Space group Pmmm (No. 47)
Asymmetric unit:
1 Zn 0.000 0.000 0.185 [2 per cell]
2 Ni 0.500 0.500 0.000 [1 per cell]
3 Br 0.500 0.000 0.500 [1 per cell]

Which one sits at the top of the stability order? *ii* does.